[1]
Computed, not measured: a relaxed SrZnRh crystal at the PBE level of DFT.

Cell lengths 4.3136, 4.3136, 4.4040 Å; angles 90.00, 90.00, 120.00 degrees
Fractional coordinates of all 3 atoms:
Sr 0.0000 0.0000 0.0000
Zn 0.6667 0.3333 0.5000
Rh 0.3333 0.6667 0.5000

Computed properties:
Total DFT energy (no corrections) (eV/cell): -11.339
Volume (Å³/f.u.): 71

=====

[2]
Computed, not measured: a relaxed Sr2Zn5Rh3 crystal at the PBE level of DFT.

Cell lengths 8.6725, 8.6725, 8.6725 Å; angles 107.03, 87.22, 139.08 degrees
Fractional coordinates of all 20 atoms:
Sr 0.1366 0.2307 0.3673
Sr 0.3634 0.7307 0.0941
Sr 0.6366 0.2693 0.9059
Sr 0.8634 0.7693 0.6327
Zn 0.0368 0.7500 0.2868
Zn 0.0983 0.6626 0.7608
Zn 0.2500 0.2500 0.0000
Zn 0.4017 0.1626 0.5643
Zn 0.4632 0.7500 0.7132
Zn 0.5368 0.2500 0.2868
Zn 0.5983 0.8374 0.4357
Zn 0.7500 0.7500 0.0000
Zn 0.9017 0.3374 0.2392
Zn 0.9632 0.2500 0.7132
Rh 0.1422 0.9029 0.0451
Rh 0.2500 0.7500 0.5000
Rh 0.3578 0.4029 0.7607
Rh 0.6422 0.5971 0.2393
Rh 0.7500 0.2500 0.5000
Rh 0.8578 0.0971 0.9549

Computed properties:
Total DFT energy (no corrections) (eV/cell): -70.720
Volume (Å³/f.u.): 196

=====

[3]
Computed, not measured: a relaxed SrZnRh2 crystal at the PBE level of DFT.

Cell lengths 4.7206, 4.7206, 4.7206 Å; angles 60.00, 60.00, 60.00 degrees
Fractional coordinates of all 4 atoms:
Sr 0.0000 0.0000 0.0000
Zn 0.7500 0.7500 0.7500
Rh 0.2500 0.2500 0.2500
Rh 0.5000 0.5000 0.5000

Computed properties:
Total DFT energy (no corrections) (eV/cell): -17.172
Volume (Å³/f.u.): 74

=====

[4]
Computed, not measured: a relaxed SrZn4Rh crystal at the PBE level of DFT.

Cell lengths 5.2800, 5.2800, 5.2800 Å; angles 60.00, 60.00, 60.00 degrees
Fractional coordinates of all 6 atoms:
Sr 0.0000 0.0000 0.0000
Zn 0.1309 0.6230 0.6230
Zn 0.6230 0.1309 0.6230
Zn 0.6230 0.6230 0.1309
Zn 0.6230 0.6230 0.6230
Rh 0.2500 0.2500 0.2500

Computed properties:
Volume (Å³/f.u.): 104
Energy above the most stable polymorph in this dataset (kJ/mol of formula units): 35

=====

[5]
Computed, not measured: a relaxed Sr3ZnRh3 crystal at the PBE level of DFT.

Cell lengths 5.9569, 5.9569, 13.9460 Å; angles 90.00, 90.00, 136.96 degrees
Fractional coordinates of all 14 atoms:
Sr 0.0029 0.9971 0.7500
Sr 0.2803 0.7197 0.1062
Sr 0.2803 0.7197 0.3938
Sr 0.7197 0.2803 0.6062
Sr 0.7197 0.2803 0.8938
Sr 0.9971 0.0029 0.2500
Zn 0.0000 0.0000 0.0000
Zn 0.0000 0.0000 0.5000
Rh 0.3098 0.6902 0.7500
Rh 0.4332 0.5668 0.5864
Rh 0.4332 0.5668 0.9136
Rh 0.5668 0.4332 0.0864
Rh 0.5668 0.4332 0.4136
Rh 0.6902 0.3098 0.2500

Computed properties:
Total DFT energy (no corrections) (eV/cell): -61.512
Volume (Å³/f.u.): 169

=====

[6]
Computed, not measured: a relaxed Sr4Zn3Rh2 crystal at the PBE level of DFT.

Cell lengths 8.5719, 8.5719, 7.5696 Å; angles 109.34, 109.34, 28.05 degrees
Fractional coordinates of all 9 atoms:
Sr 0.0714 0.0714 0.3670
Sr 0.2699 0.2699 0.8106
Sr 0.7301 0.7301 0.1894
Sr 0.9286 0.9286 0.6330
Zn 0.4026 0.4026 0.2427
Zn 0.5000 0.5000 0.0000
Zn 0.5974 0.5974 0.7573
Rh 0.0901 0.0901 0.9534
Rh 0.9098 0.9098 0.0466

Computed properties:
Total DFT energy (no corrections) (eV/cell): -28.115
Volume (Å³/f.u.): 246

=====

[7]
Computed, not measured: a relaxed SrZnRh2 crystal at the PBE level of DFT.

Cell lengths 4.7051, 3.1353, 5.2131 Å; angles 90.00, 109.82, 90.00 degrees
Fractional coordinates of all 4 atoms:
Sr 0.0000 0.0000 0.0000
Zn 0.0000 0.5000 0.5000
Rh 0.5000 0.0000 0.5000
Rh 0.5000 0.5000 0.0000

Computed properties:
Total DFT energy (no corrections) (eV/cell): -17.377
Volume (Å³/f.u.): 72

=====

[8]
Computed, not measured: a relaxed SrZnRh2 crystal at the PBE level of DFT.

Cell lengths 3.0224, 4.2803, 6.0448 Å; angles 90.00, 102.41, 90.00 degrees
Fractional coordinates of all 4 atoms:
Sr 0.0000 0.0000 0.0000
Zn 0.5000 0.0000 0.5000
Rh 0.3150 0.5000 0.6884
Rh 0.6850 0.5000 0.3116

Computed properties:
Total DFT energy (no corrections) (eV/cell): -17.815
Volume (Å³/f.u.): 76

=====

[9]
Computed, not measured: a relaxed Sr2Zn15Rh2 crystal at the PBE level of DFT.

Cell lengths 6.9029, 6.9029, 6.9029 Å; angles 83.16, 83.16, 83.16 degrees
Fractional coordinates of all 19 atoms:
Sr 0.1599 0.1599 0.1599
Sr 0.8401 0.8401 0.8401
Zn 0.0000 0.5000 0.5000
Zn 0.1568 0.1568 0.6448
Zn 0.1568 0.6448 0.1568
Zn 0.2208 0.5000 0.7792
Zn 0.2208 0.7792 0.5000
Zn 0.3552 0.8432 0.8432
Zn 0.5000 0.0000 0.5000
Zn 0.5000 0.2208 0.7792
Zn 0.5000 0.5000 0.0000
Zn 0.5000 0.7792 0.2208
Zn 0.6448 0.1568 0.1568
Zn 0.7792 0.2208 0.5000
Zn 0.7792 0.5000 0.2208
Zn 0.8432 0.3552 0.8432
Zn 0.8432 0.8432 0.3552
Rh 0.3937 0.3937 0.3937
Rh 0.6063 0.6063 0.6063

Computed properties:
Total DFT energy (no corrections) (eV/cell): -41.358
Volume (Å³/f.u.): 322

=====

[10]
Computed, not measured: a relaxed SrZn8Rh4 crystal at the PBE level of DFT.

Cell lengths 6.7516, 6.7516, 6.7516 Å; angles 100.05, 100.05, 130.61 degrees
Fractional coordinates of all 13 atoms:
Sr 0.0000 0.0000 0.0000
Zn 0.0000 0.3378 0.3378
Zn 0.0000 0.6622 0.6622
Zn 0.2686 0.5000 0.7686
Zn 0.3378 0.0000 0.3378
Zn 0.5000 0.2686 0.7686
Zn 0.5000 0.7314 0.2314
Zn 0.6622 0.0000 0.6622
Zn 0.7314 0.5000 0.2314
Rh 0.0000 0.0000 0.5000
Rh 0.0000 0.5000 0.0000
Rh 0.5000 0.0000 0.0000
Rh 0.5000 0.5000 0.5000

Computed properties:
Total DFT energy (no corrections) (eV/cell): -46.140
Volume (Å³/f.u.): 212

=====

[11]
Computed, not measured: a relaxed SrZnRh crystal at the PBE level of DFT.

Cell lengths 4.6894, 4.6894, 4.6894 Å; angles 60.00, 60.00, 60.00 degrees
Fractional coordinates of all 3 atoms:
Sr 0.0000 0.0000 0.0000
Zn 0.5000 0.5000 0.5000
Rh 0.7500 0.7500 0.7500

Computed properties:
Total DFT energy (no corrections) (eV/cell): -10.517
Volume (Å³/f.u.): 73

=====

[12]
Computed, not measured: a relaxed Sr8ZnRh2 crystal at the PBE level of DFT.

Cell lengths 6.3608, 9.5162, 9.5313 Å; angles 60.06, 89.99, 90.00 degrees
Fractional coordinates of all 11 atoms:
Sr 0.2427 0.1669 0.1662
Sr 0.2534 0.1681 0.6642
Sr 0.2534 0.6648 0.6671
Sr 0.2533 0.6672 0.1683
Sr 0.7467 0.3328 0.8317
Sr 0.7466 0.3352 0.3329
Sr 0.7466 0.8319 0.3358
Sr 0.7573 0.8331 0.8338
Zn 0.0000 0.5000 0.5000
Rh 0.2598 0.8331 0.8338
Rh 0.7402 0.1669 0.1662

Computed properties:
Total DFT energy (no corrections) (eV/cell): -29.117
Volume (Å³/f.u.): 500